Compound: Li2FeIr
Source: Alexandria via LeMat-Bulk
Functional: GGA-PBE
Structure: optimized geometry

Summary:
Formation enthalpy at 0 K in kJ/mol of formula units: 38
Magnetic moment in μB per formula unit: 2.946
Calculated density in g cm⁻³: 8.1
VASP energy in eV per atom: -5.189
Space-group type: Cmmm

The structure in CIF format:
```
data_Li2FeIr
_cell_length_a 4.935
_cell_length_b 4.935
_cell_length_c 2.511
_cell_angle_alpha 90.00
_cell_angle_beta 90.00
_cell_angle_gamma 118.54
_symmetry_space_group_name_H-M 'P 1'
_symmetry_Int_Tables_number 1
loop_
_symmetry_equiv_pos_as_xyz
'x,y,z'
loop_
_atom_site_label
_atom_site_fract_x
_atom_site_fract_y
_atom_site_fract_z
Ir1 0.000 0.500 0.500
Fe1 0.500 0.000 0.500
Li1 0.000 0.000 0.000
Li2 0.500 0.500 0.000
```